A plane-wave DFT calculation with PBE with a Hubbard U was carried out for an optimized crystal structure of NiHgO3.

```
5
Lattice="3.790 0.000 0.000 0.000 3.790 0.000 0.000 0.000 3.790" Properties=species:S:1:pos:R:3 pbc="T T T"
Ni 0.000 0.000 0.000
Hg 1.895 1.895 1.895
O 0.000 0.000 1.895
O 0.000 1.895 0.000
O 1.895 0.000 0.000
```

Properties
Total energy in eV per atom: -3.599
DOS(E_F) in states/eV/cell: 3.8
Space-group type: Pm-3m (221)